Record 1
! SmEr4Tm5 (PBE, relaxed); values from VASP
&SYSTEM
  ibrav = 0, nat = 10, ntyp = 3
/
ATOMIC_SPECIES
Sm 150.36 Sm.upf
Er 167.26 Er.upf
Tm 168.93 Tm.upf
ATOMIC_POSITIONS angstrom
Sm -0.716 -1.166 -0.279
Er -6.024 -4.311 3.697
Er -6.322 -8.072 4.538
Er -2.968 -2.193 2.639
Er -3.265 -5.955 3.481
Tm -8.832 -6.301 3.671
Tm -4.334 -5.996 6.489
Tm -4.937 -4.240 0.696
Tm -0.439 -3.935 3.514
Tm -2.181 -3.550 -0.849
CELL_PARAMETERS angstrom
-3.206 -5.218 -1.248
0.826 -5.541 5.398
-7.216 -0.005 2.909
! - Space group: I4, No. 79
! - Energy relative to the elements: 0.311 eV/atom
! - Raw total energy: -42.2 eV/cell
! - Relative energy among the computed polymorphs: 0.0747 eV/atom

Record 2
! BaMnCu2Se4 (PBE, relaxed); values from VASP
&SYSTEM
  ibrav = 0, nat = 8, ntyp = 4
/
ATOMIC_SPECIES
Ba 137.33 Ba.upf
Mn 54.94 Mn.upf
Cu 63.55 Cu.upf
Se 78.96 Se.upf
ATOMIC_POSITIONS angstrom
Ba 0.000 0.000 0.000
Mn 6.023 3.093 2.849
Cu 3.012 2.174 2.003
Cu 9.035 4.011 3.695
Se 4.795 1.075 3.027
Se 4.795 5.110 2.670
Se 7.251 3.105 0.824
Se 7.251 3.080 4.874
CELL_PARAMETERS angstrom
6.023 0.000 0.000
3.012 5.804 -0.095
3.012 0.381 5.792
! - Space group: I222, No. 23
! - Raw total energy: -38.3 eV/cell
! - Energy relative to the elements, uncorrected: -5.1 eV per formula unit

Record 3
! Ce2As4Ir3Au (PBE, relaxed); values from VASP
&SYSTEM
  ibrav = 0, nat = 10, ntyp = 4
/
ATOMIC_SPECIES
Ce 140.12 Ce.upf
As 74.92 As.upf
Ir 192.22 Ir.upf
Au 196.97 Au.upf
ATOMIC_POSITIONS angstrom
Ce -2.873 -1.490 -0.386
Ce -7.124 1.020 2.915
As -0.483 -2.727 1.452
As 0.000 0.000 0.000
As -6.652 -0.593 0.042
As -3.345 0.124 2.487
Ir -4.758 1.129 0.539
Ir -8.999 -0.036 0.308
Ir -0.999 -0.433 2.222
Au -5.240 -1.598 1.991
CELL_PARAMETERS angstrom
-1.114 -4.078 -1.296
0.149 -1.375 4.200
-9.515 2.258 1.077
! - Space group: P-4m2, No. 115
! - Energy relative to the elements: -0.673 eV/atom
! - Raw total energy: -67.1 eV/cell

Record 4
! InGe2PSe (PBE, relaxed); values from VASP
&SYSTEM
  ibrav = 0, nat = 5, ntyp = 4
/
ATOMIC_SPECIES
P 30.97 P.upf
Ge 72.64 Ge.upf
Se 78.96 Se.upf
In 114.82 In.upf
ATOMIC_POSITIONS angstrom
P 0.000 0.000 0.000
Ge 0.000 0.000 2.426
Ge 2.426 0.000 0.000
Se 0.000 2.520 0.000
In 2.426 2.520 2.426
CELL_PARAMETERS angstrom
4.852 0.000 0.000
0.000 5.040 0.000
0.000 0.000 4.852
! - Space group: P4/mmm, No. 123
! - Raw total energy: -18.9 eV/cell
! - Energy relative to the elements, uncorrected: 2.0 eV per formula unit

| no. | Fermi-level density of states (states/eV/cell) |
| --- | --- |
| 1 | 12.912 |
| 2 | 2.534 |
| 3 | 11.766 |
| 4 | 2.081 |